{
  "formula": "HfFe3Ge3",
  "functional": "PBE",
  "state": "relaxed",
  "energy_ev_per_cell": -89.172,
  "e_form_ev_per_atom": 0.66,
  "vol_a3_per_fu": 128.4,
  "sg": "Pm-3n, No. 223",
  "crystal_system": "cubic",
  "lattice": [[6.3566, 0.0000, 0.0000], [0.0000, 6.3566, 0.0000], [0.0000, 0.0000, 6.3566]],
  "species": ["Hf", "Hf", "Ge", "Ge", "Ge", "Ge", "Ge", "Ge", "Fe", "Fe", "Fe", "Fe", "Fe", "Fe"],
  "frac_coords": [[0.0000, 0.0000, 0.0000], [0.5000, 0.5000, 0.5000], [0.7500, 0.5000, 0.0000], [0.2500, 0.5000, 0.0000], [0.5000, 0.0000, 0.2500], [0.0000, 0.7500, 0.5000], [0.5000, 0.0000, 0.7500], [0.0000, 0.2500, 0.5000], [0.5000, 0.2500, 0.0000], [0.7500, 0.0000, 0.5000], [0.0000, 0.5000, 0.7500], [0.0000, 0.5000, 0.2500], [0.2500, 0.0000, 0.5000], [0.5000, 0.7500, 0.0000]]
}

{
  "formula": "Sc3AuO",
  "functional": "PBE",
  "state": "relaxed",
  "energy_ev_per_cell": -69.439,
  "vol_a3_per_fu": 88.0,
  "sg": "P1, No. 1",
  "crystal_system": "triclinic",
  "lattice": [[-4.3615, -3.7222, 2.2479], [-2.3554, -4.8857, -4.2844], [1.1574, -3.2454, 5.3351]],
  "species": ["Sc", "Sc", "Sc", "Sc", "Sc", "Sc", "Au", "Au", "O", "O"],
  "frac_coords": [[0.0915, 0.1009, 0.3386], [0.8487, 0.6434, 0.7891], [0.7405, 0.7623, 0.3827], [0.3451, 0.6412, 0.7863], [0.4736, 0.2372, 0.9370], [0.9781, 0.2353, 0.9351], [0.5882, 0.1505, 0.2960], [0.2769, 0.6905, 0.3804], [0.4150, 0.9377, 0.8562], [0.0941, 0.4929, 0.9421]]
}

{
  "formula": "Tb2SmIn2",
  "functional": "PBE",
  "state": "relaxed",
  "energy_ev_per_cell": -42.761,
  "e_form_ev_per_atom": -0.38,
  "vol_a3_per_fu": 142.8,
  "sg": "P2_1/m, No. 11",
  "crystal_system": "monoclinic",
  "lattice": [[-3.1745, -1.7992, -0.9828], [-0.8781, -1.2758, 5.1722], [-5.6550, 12.7606, 2.1874]],
  "species": ["In", "In", "In", "In", "Tb", "Tb", "Tb", "Tb", "Sm", "Sm"],
  "frac_coords": [[0.5486, 0.2500, 0.0971], [0.3573, 0.2500, 0.7133], [0.6427, 0.7500, 0.2867], [0.4514, 0.7500, 0.9029], [0.2362, 0.7500, 0.4730], [0.7638, 0.2500, 0.5270], [0.0483, 0.7500, 0.0967], [0.9517, 0.2500, 0.9033], [0.1470, 0.2500, 0.2962], [0.8530, 0.7500, 0.7038]]
}

{
  "formula": "FeCo16NiS16",
  "functional": "PBE",
  "state": "relaxed",
  "energy_ev_per_cell": -210.127,
  "vol_a3_per_fu": 472.8,
  "sg": "P4/mmm, No. 123",
  "crystal_system": "tetragonal",
  "lattice": [[-0.5091, -6.6682, -1.8680], [3.6842, 1.3251, -5.7345], [8.2812, -1.9936, 4.8596]],
  "species": ["Co", "Co", "Co", "Co", "Co", "Co", "Co", "Co", "Co", "Co", "Co", "Co", "Co", "Co", "Co", "Co", "Fe", "S", "S", "S", "S", "S", "S", "S", "S", "S", "S", "S", "S", "S", "S", "S", "S", "Ni"],
  "frac_coords": [[0.0000, 0.7467, 0.8721], [0.5000, 0.2475, 0.6256], [0.5000, 0.2475, 0.3744], [0.7525, 0.5000, 0.3744], [0.0000, 0.2533, 0.1279], [0.2533, 0.0000, 0.1279], [0.2475, 0.5000, 0.6256], [0.5000, 0.7525, 0.6256], [0.2475, 0.5000, 0.3744], [0.5000, 0.7525, 0.3744], [0.7467, 0.0000, 0.8721], [0.0000, 0.7467, 0.1279], [0.0000, 0.2533, 0.8721], [0.2533, 0.0000, 0.8721], [0.7467, 0.0000, 0.1279], [0.7525, 0.5000, 0.6256], [0.0000, 0.0000, 0.5000], [0.7639, 0.7639, 0.5000], [0.5000, 0.5000, 0.2421], [0.2361, 0.7639, 0.5000], [0.0000, 0.0000, 0.7354], [0.2361, 0.2361, 0.5000], [0.7639, 0.2361, 0.5000], [0.5000, 0.5000, 0.7579], [0.7425, 0.2575, 0.0000], [0.2575, 0.2575, 0.0000], [0.0000, 0.5000, 0.7475], [0.0000, 0.5000, 0.2525], [0.5000, 0.0000, 0.2525], [0.7425, 0.7425, 0.0000], [0.5000, 0.0000, 0.7475], [0.0000, 0.0000, 0.2646], [0.2575, 0.7425, 0.0000], [0.5000, 0.5000, 0.0000]]
}

{
  "formula": "La2HN",
  "functional": "PBE",
  "state": "relaxed",
  "energy_ev_per_cell": -25.068,
  "vol_a3_per_fu": 73.6,
  "sg": "R3m, No. 160",
  "crystal_system": "trigonal",
  "lattice": [[3.6567, 0.0000, 0.0000], [1.8283, 3.1668, 0.0000], [1.8283, 1.0556, 6.3590]],
  "species": ["N", "La", "La", "H"],
  "frac_coords": [[0.6646, 0.6646, 0.0061], [0.0774, 0.0774, 0.7678], [0.2599, 0.2599, 0.2204], [0.4981, 0.4981, 0.5057]]
}

{
  "formula": "BaNa2La",
  "functional": "PBE",
  "state": "relaxed",
  "energy_ev_per_cell": -8.446,
  "e_form_ev_per_atom": 0.26,
  "vol_a3_per_fu": 172.3,
  "sg": "Fm-3m, No. 225",
  "crystal_system": "cubic",
  "lattice": [[3.7920, 3.3731, 3.6408], [-1.6418, 5.7770, 1.7154], [-1.5847, 1.1659, 5.9280]],
  "species": ["Na", "Na", "La", "Ba"],
  "frac_coords": [[0.2500, 0.2500, 0.2500], [0.7500, 0.7500, 0.7500], [0.5000, 0.5000, 0.5000], [0.0000, 0.0000, 0.0000]]
}

{
  "formula": "LaBe2Zn",
  "functional": "PBE",
  "state": "relaxed",
  "energy_ev_per_cell": -11.758,
  "e_form_ev_per_atom": 0.47,
  "vol_a3_per_fu": 74.7,
  "sg": "P4/mmm, No. 123",
  "crystal_system": "tetragonal",
  "lattice": [[4.5677, 0.0000, 0.0000], [0.0000, 4.5677, 0.0000], [0.0000, 0.0000, 3.5793]],
  "species": ["La", "Zn", "Be", "Be"],
  "frac_coords": [[0.5000, 0.0000, 0.5000], [0.0000, 0.5000, 0.5000], [0.5000, 0.5000, 0.0000], [0.0000, 0.0000, 0.0000]]
}

{
  "formula": "Tm5Al2Tl",
  "functional": "PBE",
  "state": "relaxed",
  "energy_ev_per_cell": -69.411,
  "e_form_ev_per_atom": -0.31,
  "vol_a3_per_fu": 211.8,
  "sg": "I4/mcm, No. 140",
  "crystal_system": "tetragonal",
  "lattice": [[-1.4726, 0.6438, -7.5536], [-0.7664, -7.6680, -0.5041], [-5.8172, 4.1131, 5.4324]],
  "species": ["Tm", "Tm", "Tm", "Tm", "Tm", "Tm", "Tm", "Tm", "Tm", "Tm", "Al", "Al", "Al", "Al", "Tl", "Tl"],
  "frac_coords": [[0.8120, 0.9806, 0.2926], [0.0000, 0.0000, 0.0000], [0.6880, 0.1880, 0.7074], [0.5194, 0.6880, 0.7074], [0.1880, 0.0194, 0.7074], [0.0194, 0.5194, 0.7074], [0.3120, 0.8120, 0.2926], [0.4806, 0.3120, 0.2926], [0.5000, 0.5000, 0.0000], [0.9806, 0.4806, 0.2926], [0.6239, 0.1239, 0.0000], [0.1239, 0.3761, 0.0000], [0.3761, 0.8761, 0.0000], [0.8761, 0.6239, 0.0000], [0.7500, 0.7500, 0.5000], [0.2500, 0.2500, 0.5000]]
}

{
  "formula": "In3HI",
  "functional": "PBE",
  "state": "relaxed",
  "energy_ev_per_cell": -12.198,
  "vol_a3_per_fu": 137.3,
  "sg": "Pm-3m, No. 221",
  "crystal_system": "cubic",
  "lattice": [[5.1586, 0.0000, 0.0000], [0.0000, 5.1586, 0.0000], [0.0000, 0.0000, 5.1586]],
  "species": ["In", "In", "In", "H", "I"],
  "frac_coords": [[0.0000, 0.5000, 0.0000], [0.0000, 0.0000, 0.5000], [0.5000, 0.0000, 0.0000], [0.0000, 0.0000, 0.0000], [0.5000, 0.5000, 0.5000]]
}

{
  "formula": "Nd4Tl2Ag3",
  "functional": "PBE",
  "state": "relaxed",
  "energy_ev_per_cell": -34.750,
  "e_form_ev_per_atom": -0.27,
  "vol_a3_per_fu": 242.3,
  "sg": "C2/m, No. 12",
  "crystal_system": "monoclinic",
  "lattice": [[-3.0245, 1.9126, 3.6094], [-2.8072, -3.8784, 3.2808], [6.3892, -2.2893, 6.5681]],
  "species": ["Tl", "Tl", "Ag", "Ag", "Ag", "Nd", "Nd", "Nd", "Nd"],
  "frac_coords": [[0.2690, 0.4622, 0.7343], [0.7310, 0.5378, 0.2657], [0.0000, 0.0000, 0.0000], [0.3668, 0.2663, 0.4351], [0.6332, 0.7337, 0.5649], [0.3584, 0.2829, 0.1005], [0.9367, 0.1270, 0.6525], [0.0633, 0.8730, 0.3475], [0.6416, 0.7171, 0.8995]]
}

{
  "formula": "TeWBr2",
  "functional": "PBE",
  "state": "relaxed",
  "energy_ev_per_cell": -19.379,
  "vol_a3_per_fu": 127.1,
  "sg": "Cmmm, No. 65",
  "crystal_system": "orthorhombic",
  "lattice": [[3.3921, 0.0000, 0.0000], [0.0000, 7.5354, 0.5122], [0.0000, 5.3421, 5.3374]],
  "species": ["Te", "Br", "Br", "W"],
  "frac_coords": [[0.5000, 0.2500, 0.2500], [0.0000, 0.6100, 0.6101], [0.0000, 0.8900, 0.8899], [0.5000, 0.7500, 0.7500]]
}

{
  "formula": "BeTlPb4",
  "functional": "PBE",
  "state": "relaxed",
  "energy_ev_per_cell": -17.543,
  "e_form_ev_per_atom": 0.56,
  "vol_a3_per_fu": 194.3,
  "sg": "F-43m, No. 216",
  "crystal_system": "cubic",
  "lattice": [[0.0000, 4.5974, 4.5974], [4.5974, 0.0000, 4.5974], [4.5974, 4.5974, 0.0000]],
  "species": ["Pb", "Pb", "Pb", "Pb", "Tl", "Be"],
  "frac_coords": [[0.8758, 0.3747, 0.3747], [0.3747, 0.3747, 0.8758], [0.3747, 0.3747, 0.3747], [0.3747, 0.8758, 0.3747], [0.7500, 0.7500, 0.7500], [0.0000, 0.0000, 0.0000]]
}

{
  "formula": "SiSbPbI2",
  "functional": "PBE",
  "state": "relaxed",
  "energy_ev_per_cell": -12.238,
  "vol_a3_per_fu": 227.2,
  "sg": "P4/mmm, No. 123",
  "crystal_system": "tetragonal",
  "lattice": [[-3.2639, -2.8826, -4.2833], [4.9379, -3.2228, -1.5938], [-1.5035, -4.3022, 4.0410]],
  "species": ["I", "I", "Si", "Pb", "Sb"],
  "frac_coords": [[0.0000, 0.5000, 0.0000], [0.5000, 0.0000, 0.0000], [0.5000, 0.5000, 0.5000], [0.0000, 0.0000, 0.0000], [0.0000, 0.0000, 0.5000]]
}

{
  "formula": "BiOs2F2",
  "functional": "PBE",
  "state": "relaxed",
  "energy_ev_per_cell": -57.337,
  "vol_a3_per_fu": 88.4,
  "sg": "P4/mbm, No. 127",
  "crystal_system": "tetragonal",
  "lattice": [[7.9271, 0.0000, 0.0000], [0.0000, 7.9271, 0.0000], [0.0000, 0.0000, 2.8127]],
  "species": ["Os", "Os", "Os", "Os", "F", "F", "F", "F", "Bi", "Bi"],
  "frac_coords": [[0.4014, 0.0986, 0.5000], [0.9014, 0.4014, 0.5000], [0.0986, 0.5986, 0.5000], [0.5986, 0.9014, 0.5000], [0.7446, 0.2446, 0.0000], [0.2446, 0.2554, 0.0000], [0.7554, 0.7446, 0.0000], [0.2554, 0.7554, 0.0000], [0.0000, 0.0000, 0.0000], [0.5000, 0.5000, 0.0000]]
}

{
  "formula": "Zn2Pd8Pt3",
  "functional": "PBE",
  "state": "relaxed",
  "energy_ev_per_cell": -62.272,
  "e_form_ev_per_atom": 0.00,
  "vol_a3_per_fu": 218.2,
  "sg": "Cmmm, No. 65",
  "crystal_system": "orthorhombic",
  "lattice": [[3.7284, -0.2622, 0.5887], [-0.0145, 7.3215, 3.3385], [-1.2284, 0.3997, 7.9424]],
  "species": ["Pd", "Pd", "Pd", "Pd", "Pd", "Pd", "Pd", "Pd", "Zn", "Zn", "Pt", "Pt", "Pt"],
  "frac_coords": [[0.9998, 0.8499, 0.8499], [0.4998, 0.1006, 0.6142], [0.0002, 0.1501, 0.1501], [0.4998, 0.6142, 0.1006], [0.9997, 0.6057, 0.6057], [0.0003, 0.3943, 0.3943], [0.5002, 0.8994, 0.3858], [0.5002, 0.3858, 0.8994], [0.4996, 0.7323, 0.7323], [0.5004, 0.2677, 0.2677], [0.0000, 0.2293, 0.7707], [0.0000, 0.7707, 0.2293], [0.5000, 0.0000, 0.0000]]
}

{
  "formula": "V12Ga3Au",
  "functional": "PBE",
  "state": "relaxed",
  "energy_ev_per_cell": -124.157,
  "e_form_ev_per_atom": -0.15,
  "vol_a3_per_fu": 221.8,
  "sg": "Pmmm, No. 47",
  "crystal_system": "orthorhombic",
  "lattice": [[4.8010, 0.0000, 0.0000], [0.0000, 4.8087, 0.0000], [0.0000, 0.0000, 9.6081]],
  "species": ["V", "V", "V", "V", "V", "V", "V", "V", "V", "V", "V", "V", "Ga", "Ga", "Ga", "Au"],
  "frac_coords": [[0.7473, 0.5000, 0.5000], [0.2527, 0.5000, 0.5000], [0.7528, 0.5000, 0.0000], [0.0000, 0.7496, 0.7543], [0.5000, 0.0000, 0.8706], [0.0000, 0.2504, 0.7543], [0.5000, 0.0000, 0.3769], [0.5000, 0.0000, 0.1294], [0.0000, 0.7496, 0.2457], [0.0000, 0.2504, 0.2457], [0.2472, 0.5000, 0.0000], [0.5000, 0.0000, 0.6231], [0.5000, 0.5000, 0.7512], [0.5000, 0.5000, 0.2488], [0.0000, 0.0000, 0.0000], [0.0000, 0.0000, 0.5000]]
}

{
  "formula": "La2HgSeI",
  "functional": "PBE",
  "state": "relaxed",
  "energy_ev_per_cell": -16.650,
  "vol_a3_per_fu": 189.7,
  "sg": "P4/mmm, No. 123",
  "crystal_system": "tetragonal",
  "lattice": [[5.9701, 0.0000, 0.0000], [0.0000, 5.3229, 0.0000], [0.0000, 0.0000, 5.9701]],
  "species": ["La", "La", "Hg", "Se", "I"],
  "frac_coords": [[0.5000, 0.0000, 0.0000], [0.0000, 0.0000, 0.5000], [0.0000, 0.0000, 0.0000], [0.0000, 0.5000, 0.0000], [0.5000, 0.5000, 0.5000]]
}

{
  "formula": "In2OsPb",
  "functional": "PBE",
  "state": "relaxed",
  "energy_ev_per_cell": -19.078,
  "e_form_ev_per_atom": 0.33,
  "vol_a3_per_fu": 98.0,
  "sg": "Imm2, No. 44",
  "crystal_system": "orthorhombic",
  "lattice": [[7.3752, 0.0104, 0.0007], [5.2776, 5.1518, -0.0007], [-5.9424, -3.5223, 2.5836]],
  "species": ["In", "In", "Pb", "Os"],
  "frac_coords": [[0.3260, 0.8260, 0.5000], [0.9978, 0.9978, 0.0000], [0.6791, 0.1791, 0.5000], [0.4972, 0.4972, 0.0000]]
}

{
  "formula": "SiTc2SbN",
  "functional": "PBE",
  "state": "relaxed",
  "energy_ev_per_cell": -34.834,
  "vol_a3_per_fu": 76.4,
  "sg": "P4/mmm, No. 123",
  "crystal_system": "tetragonal",
  "lattice": [[4.7266, 0.0000, 0.0000], [0.0000, 3.4200, 0.0000], [0.0000, 0.0000, 4.7266]],
  "species": ["Tc", "Tc", "Si", "N", "Sb"],
  "frac_coords": [[0.5000, 0.0000, 0.0000], [0.0000, 0.0000, 0.5000], [0.0000, 0.0000, 0.0000], [0.0000, 0.5000, 0.0000], [0.5000, 0.5000, 0.5000]]
}

{
  "formula": "LaReAu2",
  "functional": "PBE",
  "state": "relaxed",
  "energy_ev_per_cell": -22.021,
  "e_form_ev_per_atom": 0.48,
  "vol_a3_per_fu": 79.0,
  "sg": "R-3m, No. 166",
  "crystal_system": "trigonal",
  "lattice": [[10.2661, -0.0253, -0.0148], [9.8343, 2.9460, -0.0148], [9.8343, 1.4290, 2.5763]],
  "species": ["Au", "Au", "La", "Re"],
  "frac_coords": [[0.4901, 0.4901, 0.4901], [0.0099, 0.0099, 0.0099], [0.2500, 0.2500, 0.2500], [0.7500, 0.7500, 0.7500]]
}